Entry from the Alexandria database: HoEr8Th4 after structural relaxation (PBE).

Summary:
E, eV for the cell shown: -67.8
ΔE_f, meV/atom: 226
M_tot, μB per atom: 0.000

Cell and atoms, written as POSCAR:
```
HoEr8Th4
1.0
-6.7306 -2.2354 1.9183
5.4984 -4.8537 -0.4332
4.5924 4.5470 7.3423
Ho Er Th
1 8 4
direct
0.0000 0.5000 0.5000 Ho
0.5599 0.7799 0.3398 Er
0.4401 0.2201 0.6602 Er
0.4982 0.2491 0.3082 Er
0.9409 0.1900 0.6918 Er
0.5018 0.7509 0.6918 Er
0.9409 0.7509 0.6918 Er
0.0591 0.2491 0.3082 Er
0.0591 0.8100 0.3082 Er
0.0000 0.0000 0.0000 Th
0.0000 0.5000 0.0000 Th
0.5000 0.5000 0.0000 Th
0.5000 0.0000 0.0000 Th
```